CeGe3Ir3 | PBE-GGA | optimized geometry

Cell lengths 6.7736, 6.7736, 6.7736 Å; angles 90.00, 90.00, 90.00 degrees
Positions (direct):
Ce1 0.0000 0.0000 0.0000
Ce2 0.5000 0.5000 0.5000
Ge1 0.0000 0.2500 0.5000
Ge2 0.0000 0.7500 0.5000
Ge3 0.2500 0.5000 0.0000
Ge4 0.5000 0.0000 0.2500
Ge5 0.5000 0.0000 0.7500
Ge6 0.7500 0.5000 0.0000
Ir1 0.0000 0.5000 0.2500
Ir2 0.0000 0.5000 0.7500
Ir3 0.2500 0.0000 0.5000
Ir4 0.5000 0.2500 0.0000
Ir5 0.5000 0.7500 0.0000
Ir6 0.7500 0.0000 0.5000

Results
N(E_F): 12.851 states/eV/f.u.
calculated density: 10.0 g/cm3
energy of formation: -0.134 eV/atom
spin magnetization: 1.33 μB per formula unit
E above lowest polymorph: 245 meV/atom